(1)
VASP calculation (PBE-GGA) on a relaxed structure of HfTlFePt.

- Calculated volume: 70 Å³/f.u.
- Energy above the most stable polymorph in this dataset: 0.000 eV/atom
- Uncorrected energy: -6.86 eV/atom

Lattice parameters (Å, degrees): 6.5339 6.5339 6.5339 90.00 90.00 90.00
Closest atoms and distances in Å follow each position.
Space group F-43m (No. 216)
Inequivalent atoms, fractional coordinates:
1 Hf 0.0000 0.0000 0.0000  4 Pt 2.83, 4 Fe 2.83
2 Tl 0.0000 0.0000 0.5000  4 Fe 2.83, 4 Pt 2.83
3 Fe 0.2500 0.2500 0.7500  4 Hf 2.83, 4 Tl 2.83
4 Pt 0.2500 0.2500 0.2500  4 Hf 2.83, 4 Tl 2.83

(2)
VASP calculation (PBE-GGA) on a relaxed structure of PuHfFe.

- Calculated volume: 57 Å³/f.u.
- Energy above the most stable polymorph in this dataset: 0.000 eV/atom
- Uncorrected energy: -10.56 eV/atom

Lattice parameters (Å, degrees): 6.0950 6.0950 6.0950 90.00 90.00 90.00
Closest atoms and distances in Å follow each position.
Space group F-43m (No. 216)
Inequivalent atoms, fractional coordinates:
1 Pu 0.0000 0.0000 0.0000  4 Fe 2.64
2 Hf 0.0000 0.0000 0.5000  4 Fe 2.64
3 Fe 0.2500 0.2500 0.7500  4 Hf 2.64, 4 Pu 2.64

(3)
VASP calculation (PBE-GGA) on a relaxed structure of HfFe2Re.

- Calculated volume: 56 Å³/f.u.
- Uncorrected energy: -9.79 eV/atom

Lattice parameters (Å, degrees): 4.3034 4.3034 3.0401 90.00 90.00 90.00
Closest atoms and distances in Å follow each position.
Space group P4/mmm (No. 123)
Inequivalent atoms, fractional coordinates:
1 Hf 0.0000 0.0000 0.0000  8 Fe 2.63
2 Fe 0.0000 0.5000 0.5000  4 Hf 2.63, 4 Re 2.63
3 Re 0.5000 0.5000 0.0000  8 Fe 2.63

(4)
VASP calculation (PBE-GGA) on a relaxed structure of Hf2FeRe.

- Calculated volume: 64 Å³/f.u.
- Uncorrected energy: -10.06 eV/atom

Lattice parameters (Å, degrees): 6.3632 6.3632 6.3632 90.00 90.00 90.00
Closest atoms and distances in Å follow each position.
Space group F-43m (No. 216)
Inequivalent atoms, fractional coordinates:
1 Hf 0.0000 0.0000 0.0000  4 Hf 2.76, 4 Fe 2.76
2 Hf 0.2500 0.2500 0.2500  4 Hf 2.76, 4 Re 2.76
3 Fe 0.2500 0.2500 0.7500  4 Hf 2.76, 4 Re 2.76
4 Re 0.0000 0.0000 0.5000  4 Hf 2.76, 4 Fe 2.76

Question: Which formula does entry 4 have?
Answer: Hf2FeRe

Question: Which formula does entry 4 have?
Answer: Hf2FeRe

What did the second record say?
VASP calculation (PBE-GGA) on a relaxed structure of PuHfFe.

- Calculated volume: 57 Å³/f.u.
- Energy above the most stable polymorph in this dataset: 0.000 eV/atom
- Uncorrected energy: -10.56 eV/atom

Lattice parameters (Å, degrees): 6.0950 6.0950 6.0950 90.00 90.00 90.00
Closest atoms and distances in Å follow each position.
Space group F-43m (No. 216)
Inequivalent atoms, fractional coordinates:
1 Pu 0.0000 0.0000 0.0000  4 Fe 2.64
2 Hf 0.0000 0.0000 0.5000  4 Fe 2.64
3 Fe 0.2500 0.2500 0.7500  4 Hf 2.64, 4 Pu 2.64

Question: Which value of calculated volume does entry 4 give?
Answer: 64 Å³/f.u.